Entry from Alexandria: a relaxed Sc2ReSe crystal (PBE).

a = 3.1699 Å, b = 3.1699 Å, c = 7.7419 Å
α = 90.00°, β = 90.00°, γ = 90.00°
Atoms (fractional coordinates):
Sc1 0.0000 0.0000 0.0000
Sc2 0.5000 0.5000 0.3303
Re1 0.5000 0.5000 0.7570
Se1 0.0000 0.0000 0.5892

**Symmetry**: P4mm (99)
**DOS(E_F)**: 0.82 states/eV/atom
**Energy relative to the elements, uncorrected**: -0.09 eV per atom
**Energy**: -7.238 eV/atom
**Spin magnetization**: 0.20 μB/atom